Record 1
A relaxed Ba3TcSe crystal. Source: the Alexandria database, functional PBE-GGA. Values from VASP.

Quantum ESPRESSO input file:
```
&SYSTEM
  ibrav = 0, nat = 5, ntyp = 3
/
ATOMIC_SPECIES
Ba 137.33 Ba.upf
Tc 98.00 Tc.upf
Se 78.96 Se.upf
ATOMIC_POSITIONS angstrom
Ba 0.0000 0.0000 2.8810
Ba 0.0000 2.8810 0.0000
Ba 2.8810 0.0000 0.0000
Tc 0.0000 0.0000 0.0000
Se 2.8810 2.8810 2.8810
CELL_PARAMETERS angstrom
5.7620 0.0000 0.0000
0.0000 5.7620 0.0000
0.0000 0.0000 5.7620
```

**Mass density**: 5112 kg/m³
**Crystal system**: cubic
**Relative energy among the computed polymorphs**: 0 meV/atom
**Total moment**: 0.000 μB/atom
**Formation energy without anion corrections**: -0.081 eV per atom

---

Record 2
A relaxed KAsPtO6 crystal. Source: the Alexandria database, functional PBE-GGA. Values from VASP.

Quantum ESPRESSO input file:
```
&SYSTEM
  ibrav = 0, nat = 9, ntyp = 4
/
ATOMIC_SPECIES
K 39.10 K.upf
As 74.92 As.upf
Pt 195.08 Pt.upf
O 16.00 O.upf
ATOMIC_POSITIONS angstrom
K 0.0000 0.0000 0.0000
As 0.0000 2.9494 3.0596
Pt 2.5543 1.4747 3.0596
O -0.8851 1.6745 2.0067
O -1.5466 2.8203 4.1125
O 0.8851 1.6745 4.1125
O -0.6615 4.3534 2.0067
O 1.5466 2.8203 2.0067
O 0.6615 4.3534 4.1125
CELL_PARAMETERS angstrom
5.1085 0.0000 0.0000
-2.5543 4.4241 0.0000
0.0000 0.0000 6.1192
```

**Mass density**: 4864 kg/m³
**Crystal system**: trigonal
**Total moment**: 0.223 μB/atom
**Formation energy without anion corrections**: -0.925 eV per atom

---

Record 3
A relaxed MgCN2O crystal. Source: the Alexandria database, functional PBE-GGA. Values from VASP.

Quantum ESPRESSO input file:
```
&SYSTEM
  ibrav = 0, nat = 5, ntyp = 4
/
ATOMIC_SPECIES
Mg 24.30 Mg.upf
C 12.01 C.upf
N 14.01 N.upf
O 16.00 O.upf
ATOMIC_POSITIONS angstrom
Mg 0.0000 0.0000 0.0000
C 2.0929 2.0929 1.9102
N 0.0000 2.0929 0.0000
N 2.0929 0.0000 0.0000
O 0.0000 0.0000 1.9102
CELL_PARAMETERS angstrom
4.1857 0.0000 0.0000
0.0000 4.1857 0.0000
0.0000 0.0000 3.8204
```

**Mass density**: 1993 kg/m³
**Crystal system**: tetragonal
**Total moment**: 0.800 μB/atom
**Formation energy without anion corrections**: 2.491 eV per atom

---

Record 4
A relaxed CoNiHg crystal. Source: the Alexandria database, functional PBE-GGA. Values from VASP.

Quantum ESPRESSO input file:
```
&SYSTEM
  ibrav = 0, nat = 3, ntyp = 3
/
ATOMIC_SPECIES
Co 58.93 Co.upf
Ni 58.69 Ni.upf
Hg 200.59 Hg.upf
ATOMIC_POSITIONS angstrom
Co 0.0000 0.0000 0.0000
Ni 0.0000 0.0000 3.9532
Hg 0.0000 0.0000 7.3016
CELL_PARAMETERS angstrom
-1.4230 1.4230 5.3120
1.4230 -1.4230 5.3120
1.4230 1.4230 -5.3120
```

**Mass density**: 12282 kg/m³
**Crystal system**: tetragonal
**Calculated formation energy**: 322 meV per atom
**Relative energy among the computed polymorphs**: 0 meV/atom
**Total moment**: 0.647 μB/atom

---

Record 5
A relaxed Li2CuAu crystal. Source: the Alexandria database, functional PBE-GGA. Values from VASP.

Quantum ESPRESSO input file:
```
&SYSTEM
  ibrav = 0, nat = 4, ntyp = 3
/
ATOMIC_SPECIES
Li 6.94 Li.upf
Cu 63.55 Cu.upf
Au 196.97 Au.upf
ATOMIC_POSITIONS angstrom
Li 0.0000 0.0000 0.0000
Li 1.5347 1.5347 1.5347
Cu 4.6041 4.6041 4.6041
Au 3.0694 3.0694 3.0694
CELL_PARAMETERS angstrom
0.0000 3.0694 3.0694
3.0694 0.0000 3.0694
3.0694 3.0694 0.0000
```

**Mass density**: 7879 kg/m³
**Crystal system**: cubic
**Calculated formation energy**: -316 meV per atom
**Total moment**: 0.000 μB/atom

---

Record 6
A relaxed Ti3ZnN crystal. Source: the Alexandria database, functional PBE-GGA. Values from VASP.

Quantum ESPRESSO input file:
```
&SYSTEM
  ibrav = 0, nat = 10, ntyp = 3
/
ATOMIC_SPECIES
Ti 47.87 Ti.upf
Zn 65.41 Zn.upf
N 14.01 N.upf
ATOMIC_POSITIONS angstrom
Ti 0.0000 0.0000 3.9172
Ti 1.1481 2.1589 -2.6517
Ti 1.0109 0.0000 7.5751
Ti 2.1589 1.1481 2.6517
Ti 0.0000 0.0000 16.5363
Ti 0.0000 1.0109 12.8784
Zn 2.1589 0.0000 5.1134
Zn 0.0000 0.0000 10.2267
N 0.0000 2.1589 3.1056
N 0.0000 2.1589 7.1211
CELL_PARAMETERS angstrom
-2.1589 2.1589 10.2267
2.1589 -2.1589 10.2267
2.1589 2.1589 -10.2267
```

**Mass density**: 3885 kg/m³
**Crystal system**: tetragonal
**Relative energy among the computed polymorphs**: 1451 meV/atom
**Total moment**: 0.000 μB/atom
**Formation energy without anion corrections**: 0.552 eV per atom

---

Record 7
A relaxed Nd2PaTcN5 crystal. Source: the Alexandria database, functional PBE-GGA. Values from VASP.

Quantum ESPRESSO input file:
```
&SYSTEM
  ibrav = 0, nat = 9, ntyp = 4
/
ATOMIC_SPECIES
Nd 144.24 Nd.upf
Pa 231.04 Pa.upf
Tc 98.00 Tc.upf
N 14.01 N.upf
ATOMIC_POSITIONS angstrom
Nd 0.0000 0.0000 1.7772
Nd 0.0000 0.0000 6.8691
Pa 1.9285 1.9285 4.3231
Tc 1.9285 1.9285 0.0000
N 0.0000 0.0000 4.3231
N 0.0000 1.9285 0.0000
N 1.9285 0.0000 0.0000
N 1.9285 1.9285 2.2483
N 1.9285 1.9285 6.3979
CELL_PARAMETERS angstrom
3.8569 0.0000 0.0000
0.0000 3.8569 0.0000
0.0000 0.0000 8.6463
```

**Mass density**: 8876 kg/m³
**Crystal system**: tetragonal
**Total moment**: 0.000 μB/atom
**Formation energy without anion corrections**: -1.120 eV per atom

---

Record 8
A relaxed Ac2Pr8Th crystal. Source: the Alexandria database, functional PBE-GGA. Values from VASP.

Quantum ESPRESSO input file:
```
&SYSTEM
  ibrav = 0, nat = 11, ntyp = 3
/
ATOMIC_SPECIES
Ac 227.00 Ac.upf
Pr 140.91 Pr.upf
Th 232.04 Th.upf
ATOMIC_POSITIONS angstrom
Ac 4.0282 0.0000 1.1414
Ac 12.8924 0.0000 6.9698
Pr 0.2756 0.0000 1.9045
Pr 1.0180 0.0000 5.4269
Pr 4.8846 0.0000 4.8178
Pr 7.7716 0.0000 0.4495
Pr 9.1490 0.0000 7.6617
Pr 12.0360 0.0000 3.2934
Pr 15.9026 0.0000 2.6843
Pr 16.6450 0.0000 6.2067
Th 8.4603 0.0000 4.0556
CELL_PARAMETERS angstrom
9.5712 -2.6518 0.0000
9.5712 2.6518 0.0000
-2.2219 0.0000 8.1112
```

**Mass density**: 7313 kg/m³
**Crystal system**: monoclinic
**Calculated formation energy**: 39 meV per atom
**Total moment**: 0.000 μB/atom

---

- The highest mass density belongs to which entry?
  CoNiHg